{"formula": "Tb2CS", "functional": "PBE-GGA", "state": "optimized geometry", "formation_energy_uncorrected_kj_per_mol_fu": -488, "n_ef_per_ev_fu": 0.595, "density_g_cm3": 7.8, "dft_energy_ry_per_atom": -0.5084, "spacegroup": "R-3m", "cell": [[1.871, 1.080, 6.391], [-1.871, 1.080, 6.391], [0.000, -2.160, 6.391]], "species": ["Tb", "Tb", "C", "S"], "frac_coords": [[0.238, 0.238, 0.238], [0.762, 0.762, 0.762], [0.500, 0.500, 0.500], [0.000, 0.000, 0.000]]}